1.
The following is a DFT calculation (GGA-PBE) of a relaxed Nb2RuF crystal.

Spin magnetization, μB/atom: 0.00
E above lowest polymorph, kcal/mol of atoms: 6.09
Formation energy without anion corrections, eV/atom: 0.000

Cell lengths 4.7070, 4.7070, 7.3213 Å; angles 71.25, 71.25, 90.00 degrees
Fractional coordinates of all 8 atoms:
Nb  0.1872  0.6250  0.2500
Ru  0.0000  0.0000  0.0000
Nb  0.5628  0.1250  0.2500
Nb  0.3750  0.4372  0.7500
F  0.2500  0.7500  0.5000
F  0.5000  0.5000  0.0000
Nb  0.8750  0.8128  0.7500
Ru  0.7500  0.2500  0.5000

2.
The following is a DFT calculation (GGA-PBE) of a relaxed Nd2Cd5Hg12 crystal.

Spin magnetization, μB/atom: 0.00
E_tot, eV/atom: -1.06

Cell lengths 5.4034, 10.4341, 10.4341 Å; angles 60.46, 75.34, 75.34 degrees
Fractional coordinates of all 19 atoms:
Hg  0.0398  0.8837  0.8837
Nd  0.0000  0.2332  0.7668
Hg  0.9602  0.1163  0.1163
Hg  0.2982  0.4444  0.4444
Hg  0.2014  0.5284  0.0883
Hg  0.7018  0.5556  0.5556
Hg  0.2014  0.0883  0.5284
Cd  0.4033  0.2015  0.2015
Hg  0.6129  0.6424  0.1466
Cd  0.5000  0.0000  0.0000
Nd  0.0000  0.7668  0.2332
Hg  0.7986  0.4716  0.9117
Hg  0.3871  0.8534  0.3576
Hg  0.7986  0.9117  0.4716
Cd  0.5967  0.7985  0.7985
Hg  0.3871  0.3576  0.8534
Hg  0.6129  0.1466  0.6424
Cd  0.1843  0.7020  0.7020
Cd  0.8157  0.2980  0.2980

3.
The following is a DFT calculation (GGA-PBE) of a relaxed La2ZrReI crystal.

Spin magnetization, μB/atom: 0.57
E above lowest polymorph, kcal/mol of atoms: 9.95
Formation energy without anion corrections, eV/atom: 1.235

Cell lengths 5.8055, 5.2135, 5.8055 Å; angles 90.00, 90.00, 90.00 degrees
Each line ends with the local moment (μB).
Fractional coordinates of all 5 atoms:
La  0.5000  0.0000  0.0000  -0.07
La  0.0000  0.0000  0.5000  -0.06
I  0.0000  0.0000  0.0000  0.00
Zr  0.0000  0.5000  0.0000  -0.16
Re  0.5000  0.5000  0.5000  2.88

4.
The following is a DFT calculation (GGA-PBE) of a relaxed CaCd4Pd4 crystal.

Spin magnetization, μB/atom: 0.00
E_tot, eV/atom: -3.16

Cell lengths 5.4511, 8.7293, 8.7293 Å; angles 90.00, 90.00, 90.00 degrees
Fractional coordinates of all 18 atoms:
Cd  0.3920  0.6727  0.1152
Cd  0.8920  0.3848  0.1727
Cd  0.6080  0.8848  0.6727
Pd  0.6074  0.1937  0.6352
Pd  0.3926  0.6352  0.8063
Pd  0.1074  0.8648  0.6937
Cd  0.8920  0.6152  0.8273
Pd  0.8926  0.3063  0.8648
Pd  0.8926  0.6937  0.1352
Pd  0.1074  0.1352  0.3063
Ca  0.0000  0.0000  0.0000
Cd  0.1080  0.1727  0.6152
Cd  0.3920  0.3273  0.8848
Cd  0.6080  0.1152  0.3273
Pd  0.6074  0.8063  0.3648
Cd  0.1080  0.8273  0.3848
Ca  0.5000  0.5000  0.5000
Pd  0.3926  0.3648  0.1937

5.
The following is a DFT calculation (GGA-PBE) of a relaxed VRuSN2 crystal.

Spin magnetization, μB/atom: 0.12
E above lowest polymorph, kcal/mol of atoms: 4.78
Formation energy without anion corrections, eV/atom: 0.915

Cell lengths 3.7617, 3.7617, 4.9902 Å; angles 90.00, 90.00, 90.00 degrees
Each line ends with the local moment (μB).
Fractional coordinates of all 5 atoms:
V  0.5000  0.5000  0.5000  -0.65
N  0.5000  0.0000  0.0000  0.03
N  0.0000  0.5000  0.0000  0.03
S  0.0000  0.0000  0.5000  0.01
Ru  0.0000  0.0000  0.0000  0.05

6.
The following is a DFT calculation (GGA-PBE) of a relaxed Pr5Hg2Rh crystal.

Spin magnetization, μB/atom: 0.00
E above lowest polymorph, kcal/mol of atoms: 5.38

Cell lengths 5.9388, 7.1165, 12.9095 Å; angles 90.00, 90.00, 114.66 degrees
Fractional coordinates of all 16 atoms:
Pr  0.6061  0.2121  0.2500
Pr  0.0748  0.1496  0.1051
Pr  0.6298  0.2597  0.9319
Pr  0.6298  0.2597  0.5681
Hg  0.1817  0.3633  0.8694
Rh  0.2364  0.4728  0.2500
Pr  0.9252  0.8504  0.8949
Hg  0.8183  0.6367  0.3694
Pr  0.3702  0.7403  0.0681
Pr  0.9252  0.8504  0.6051
Hg  0.8183  0.6367  0.1306
Pr  0.3939  0.7879  0.7500
Pr  0.3702  0.7403  0.4319
Hg  0.1817  0.3633  0.6306
Rh  0.7636  0.5272  0.7500
Pr  0.0748  0.1496  0.3949

Number 3 is which compound? La2ZrReI

Copy entry 6 word for word.
The following is a DFT calculation (GGA-PBE) of a relaxed Pr5Hg2Rh crystal.

Spin magnetization, μB/atom: 0.00
E above lowest polymorph, kcal/mol of atoms: 5.38

Cell lengths 5.9388, 7.1165, 12.9095 Å; angles 90.00, 90.00, 114.66 degrees
Fractional coordinates of all 16 atoms:
Pr  0.6061  0.2121  0.2500
Pr  0.0748  0.1496  0.1051
Pr  0.6298  0.2597  0.9319
Pr  0.6298  0.2597  0.5681
Hg  0.1817  0.3633  0.8694
Rh  0.2364  0.4728  0.2500
Pr  0.9252  0.8504  0.8949
Hg  0.8183  0.6367  0.3694
Pr  0.3702  0.7403  0.0681
Pr  0.9252  0.8504  0.6051
Hg  0.8183  0.6367  0.1306
Pr  0.3939  0.7879  0.7500
Pr  0.3702  0.7403  0.4319
Hg  0.1817  0.3633  0.6306
Rh  0.7636  0.5272  0.7500
Pr  0.0748  0.1496  0.3949